(1)
The following is a PBE calculation of crystalline RbBeGa3 at its relaxed geometry, from the Alexandria database.

Summary:
For the formation enthalpy at 0 K, the calculation gives 1696 meV/atom. The value obtained for the density is 2.287 g/cm³. For the total energy, the calculation gives -1.059 eV per atom. The value obtained for the energy relative to the lowest polymorph listed for this composition is 1414.7 meV/atom.

abc: 6.041 6.041 6.041
angles: 90.00 90.00 90.00
Fractional positions:
Rb 0.000 0.000 0.000
Be 0.500 0.500 0.500
Ga 0.000 0.000 0.500
Ga 0.000 0.500 0.000
Ga 0.500 0.000 0.000

***

(2)
The following is a PBE calculation of crystalline RbBe2GaRe at its relaxed geometry, from the Alexandria database.

Summary:
For the formation enthalpy at 0 K, the calculation gives 679 meV/atom. The value obtained for the density is 5.657 g/cm³. For the total energy, the calculation gives -4.100 eV per atom.

abc: 4.627 4.627 4.929
angles: 90.00 90.00 90.00
Fractional positions:
Rb 0.000 0.000 0.000
Be 0.000 0.500 0.500
Be 0.500 0.000 0.500
Ga 0.500 0.500 0.000
Re 0.500 0.500 0.500

***

(3)
The following is a PBE calculation of crystalline Rb2BeGaSi at its relaxed geometry, from the Alexandria database.

Summary:
The value obtained for the density is 2.141 g/cm³. For the total energy, the calculation gives -2.045 eV per atom. The formation energy (no corrections) comes out at 3.89 eV per formula unit.

abc: 6.750 6.750 4.728
angles: 90.00 90.00 90.00
Fractional positions:
Rb 0.000 0.500 0.000
Rb 0.500 0.000 0.000
Be 0.000 0.000 0.500
Ga 0.500 0.500 0.000
Si 0.500 0.500 0.500

***

(4)
The following is a PBE calculation of crystalline RbBeGaTc2 at its relaxed geometry, from the Alexandria database.

Summary:
For the formation enthalpy at 0 K, the calculation gives 1199 meV/atom. The value obtained for the density is 6.456 g/cm³. For the total energy, the calculation gives -4.491 eV per atom.

abc: 4.579 4.579 4.419
angles: 90.00 90.00 90.00
Fractional positions:
Rb 0.000 0.000 0.000
Be 0.500 0.500 0.500
Ga 0.500 0.500 0.000
Tc 0.000 0.500 0.500
Tc 0.500 0.000 0.500

***

(5)
The following is a PBE calculation of crystalline BeGa3Re at its relaxed geometry, from the Alexandria database.

Summary:
For the formation enthalpy at 0 K, the calculation gives 819 meV/atom. The value obtained for the density is 5.897 g/cm³. For the total energy, the calculation gives -4.232 eV per atom. The value obtained for the energy relative to the lowest polymorph listed for this composition is 0.0 meV/atom.

abc: 4.847 4.847 4.847
angles: 90.00 90.00 90.00
Fractional positions:
Be 0.000 0.000 0.000
Ga 0.000 0.500 0.500
Ga 0.500 0.000 0.500
Ga 0.500 0.500 0.000
Re 0.500 0.500 0.500

***

(6)
The following is a PBE calculation of crystalline BeGaRe2 at its relaxed geometry, from the Alexandria database.

Summary:
For the formation enthalpy at 0 K, the calculation gives 545 meV/atom. The value obtained for the density is 12.243 g/cm³. For the total energy, the calculation gives -7.367 eV per atom. The value obtained for the energy relative to the lowest polymorph listed for this composition is 230.1 meV/atom.

abc: 9.238 9.238 9.238
angles: 156.79 156.79 33.06
Fractional positions:
Be 0.000 0.000 0.000
Be 0.750 0.250 0.500
Ga 0.250 0.750 0.500
Ga 0.500 0.500 0.000
Re 0.086 0.625 0.961
Re 0.375 0.336 0.461
Re 0.664 0.125 0.039
Re 0.875 0.914 0.539

***

(7)
The following is a PBE calculation of crystalline BeGa2Re2 at its relaxed geometry, from the Alexandria database.

Summary:
For the formation enthalpy at 0 K, the calculation gives 165 meV/atom. The value obtained for the density is 11.758 g/cm³. For the total energy, the calculation gives -6.770 eV per atom.

abc: 5.987 5.987 4.104
angles: 90.00 90.00 90.00
Fractional positions:
Be 0.000 0.000 0.000
Be 0.500 0.500 0.000
Ga 0.165 0.335 0.500
Ga 0.335 0.835 0.500
Ga 0.665 0.165 0.500
Ga 0.835 0.665 0.500
Re 0.148 0.648 0.000
Re 0.352 0.148 0.000
Re 0.648 0.852 0.000
Re 0.852 0.352 0.000

***

(8)
The following is a PBE calculation of crystalline Be2GaRe at its relaxed geometry, from the Alexandria database.

Summary:
For the formation enthalpy at 0 K, the calculation gives 413 meV/atom. The value obtained for the density is 9.224 g/cm³. For the total energy, the calculation gives -5.319 eV per atom.

abc: 5.099 5.099 5.099
angles: 103.81 103.81 121.52
Fractional positions:
Be 0.117 0.625 0.992
Be 0.375 0.367 0.492
Be 0.633 0.125 0.008
Be 0.875 0.883 0.508
Ga 0.000 0.000 0.000
Ga 0.750 0.250 0.500
Re 0.250 0.750 0.500
Re 0.500 0.500 0.000

***

(9)
The following is a PBE calculation of crystalline BeGa3Re at its relaxed geometry, from the Alexandria database.

Summary:
For the formation enthalpy at 0 K, the calculation gives 994 meV/atom. The value obtained for the density is 8.197 g/cm³. For the total energy, the calculation gives -4.057 eV per atom. The value obtained for the energy relative to the lowest polymorph listed for this composition is 174.8 meV/atom.

abc: 4.343 4.343 4.343
angles: 90.00 90.00 90.00
Fractional positions:
Be 0.000 0.000 0.000
Ga 0.000 0.000 0.500
Ga 0.000 0.500 0.000
Ga 0.500 0.000 0.000
Re 0.500 0.500 0.500

***

(10)
The following is a PBE calculation of crystalline BeGaRe3 at its relaxed geometry, from the Alexandria database.

Summary:
For the formation enthalpy at 0 K, the calculation gives 837 meV/atom. The value obtained for the density is 14.665 g/cm³. For the total energy, the calculation gives -7.982 eV per atom. The value obtained for the energy relative to the lowest polymorph listed for this composition is 0.0 meV/atom.

abc: 4.163 4.163 4.163
angles: 90.00 90.00 90.00
Fractional positions:
Be 0.000 0.000 0.000
Ga 0.500 0.500 0.500
Re 0.000 0.000 0.500
Re 0.000 0.500 0.000
Re 0.500 0.000 0.000

***

(11)
The following is a PBE calculation of crystalline BeGaRe2 at its relaxed geometry, from the Alexandria database.

Summary:
For the formation enthalpy at 0 K, the calculation gives 315 meV/atom. The value obtained for the density is 14.232 g/cm³. For the total energy, the calculation gives -7.597 eV per atom. The value obtained for the energy relative to the lowest polymorph listed for this composition is 0.0 meV/atom.

abc: 4.207 4.207 4.207
angles: 60.00 60.00 60.00
Fractional positions:
Be 0.000 0.000 0.000
Ga 0.500 0.500 0.500
Re 0.250 0.250 0.250
Re 0.750 0.750 0.750

***

(12)
The following is a PBE calculation of crystalline BeGa2ReSb at its relaxed geometry, from the Alexandria database.

Summary:
The value obtained for the density is 6.105 g/cm³. For the total energy, the calculation gives -3.537 eV per atom. The formation energy (no corrections) comes out at 8.67 eV per formula unit.

abc: 5.361 5.361 4.319
angles: 90.00 90.00 90.00
Fractional positions:
Be 0.000 0.000 0.000
Ga 0.000 0.500 0.500
Ga 0.500 0.000 0.500
Re 0.500 0.500 0.000
Sb 0.000 0.000 0.500

***

(13)
The following is a PBE calculation of crystalline BeGaReSn2 at its relaxed geometry, from the Alexandria database.

Summary:
For the formation enthalpy at 0 K, the calculation gives 523 meV/atom. The value obtained for the density is 6.911 g/cm³. For the total energy, the calculation gives -4.919 eV per atom. The value obtained for the energy relative to the lowest polymorph listed for this composition is 0.0 meV/atom.

abc: 5.163 5.163 4.528
angles: 90.00 90.00 90.00
Fractional positions:
Be 0.000 0.000 0.000
Ga 0.500 0.500 0.000
Re 0.000 0.000 0.500
Sn 0.000 0.500 0.500
Sn 0.500 0.000 0.500

***

(14)
The following is a PBE calculation of crystalline BeGaReSn2 at its relaxed geometry, from the Alexandria database.

Summary:
For the formation enthalpy at 0 K, the calculation gives 1595 meV/atom. The value obtained for the density is 6.518 g/cm³. For the total energy, the calculation gives -3.847 eV per atom. The value obtained for the energy relative to the lowest polymorph listed for this composition is 1072.2 meV/atom.

abc: 5.181 5.181 4.767
angles: 90.00 90.00 90.00
Fractional positions:
Be 0.000 0.000 0.000
Ga 0.500 0.500 0.500
Re 0.500 0.500 0.000
Sn 0.000 0.500 0.500
Sn 0.500 0.000 0.500

***

(15)
The following is a PBE calculation of crystalline Sr2BeGaRe at its relaxed geometry, from the Alexandria database.

Summary:
For the formation enthalpy at 0 K, the calculation gives 1094 meV/atom. The value obtained for the density is 4.932 g/cm³. For the total energy, the calculation gives -3.419 eV per atom.

abc: 5.970 5.970 4.159
angles: 90.00 90.00 90.00
Fractional positions:
Sr 0.000 0.500 0.000
Sr 0.500 0.000 0.000
Be 0.000 0.000 0.500
Ga 0.000 0.000 0.000
Re 0.500 0.500 0.500

***

(16)
The following is a PBE calculation of crystalline BeGaRh at its relaxed geometry, from the Alexandria database.

Summary:
For the formation enthalpy at 0 K, the calculation gives -510 meV/atom. The value obtained for the density is 7.672 g/cm³. For the total energy, the calculation gives -5.211 eV per atom. The value obtained for the energy relative to the lowest polymorph listed for this composition is 0.0 meV/atom.

abc: 9.698 9.698 9.698
angles: 162.92 162.92 24.24
Fractional positions:
Be 0.219 0.219 0.000
Be 0.781 0.781 0.000
Ga 0.067 0.067 0.000
Ga 0.933 0.933 0.000
Rh 0.346 0.346 0.000
Rh 0.654 0.654 0.000

***

(17)
The following is a PBE calculation of crystalline BeGa2Rh2 at its relaxed geometry, from the Alexandria database.

Summary:
For the formation enthalpy at 0 K, the calculation gives -303 meV/atom. The value obtained for the density is 8.277 g/cm³. For the total energy, the calculation gives -5.200 eV per atom. The value obtained for the energy relative to the lowest polymorph listed for this composition is 229.9 meV/atom.

abc: 6.976 6.976 2.921
angles: 90.00 90.00 90.00
Fractional positions:
Be 0.000 0.000 0.000
Be 0.500 0.500 0.000
Ga 0.138 0.362 0.000
Ga 0.362 0.862 0.000
Ga 0.638 0.138 0.000
Ga 0.862 0.638 0.000
Rh 0.162 0.662 0.500
Rh 0.338 0.162 0.500
Rh 0.662 0.838 0.500
Rh 0.838 0.338 0.500

***

(18)
The following is a PBE calculation of crystalline BeGaRh at its relaxed geometry, from the Alexandria database.

Summary:
For the formation enthalpy at 0 K, the calculation gives -470 meV/atom. The value obtained for the density is 8.146 g/cm³. For the total energy, the calculation gives -5.171 eV per atom. The value obtained for the energy relative to the lowest polymorph listed for this composition is 40.2 meV/atom.

abc: 4.679 4.679 4.679
angles: 142.90 142.90 53.48
Fractional positions:
Be 0.000 0.000 0.000
Ga 0.676 0.676 0.000
Rh 0.366 0.366 0.000

***

(19)
The following is a PBE calculation of crystalline BeGaRh2 at its relaxed geometry, from the Alexandria database.

Summary:
For the formation enthalpy at 0 K, the calculation gives -673 meV/atom. The value obtained for the density is 9.530 g/cm³. For the total energy, the calculation gives -6.037 eV per atom. The value obtained for the energy relative to the lowest polymorph listed for this composition is 4.3 meV/atom.

abc: 2.911 2.911 5.849
angles: 90.00 90.00 90.00
Fractional positions:
Be 0.000 0.000 0.000
Ga 0.000 0.000 0.500
Rh 0.500 0.500 0.234
Rh 0.500 0.500 0.766

***

(20)
The following is a PBE calculation of crystalline Be2Ga2Rh at its relaxed geometry, from the Alexandria database.

Summary:
For the formation enthalpy at 0 K, the calculation gives -58 meV/atom. The value obtained for the density is 6.970 g/cm³. For the total energy, the calculation gives -4.229 eV per atom.

abc: 6.136 6.136 3.295
angles: 90.00 90.00 90.00
Fractional positions:
Be 0.128 0.372 0.000
Be 0.372 0.872 0.000
Be 0.628 0.128 0.000
Be 0.872 0.628 0.000
Ga 0.169 0.669 0.500
Ga 0.331 0.169 0.500
Ga 0.669 0.831 0.500
Ga 0.831 0.331 0.500
Rh 0.000 0.000 0.000
Rh 0.500 0.500 0.000

***

(21)
The following is a PBE calculation of crystalline Be3GaRh4 at its relaxed geometry, from the Alexandria database.

Summary:
For the formation enthalpy at 0 K, the calculation gives -642 meV/atom. The value obtained for the density is 9.045 g/cm³. For the total energy, the calculation gives -6.094 eV per atom.

abc: 4.028 4.028 5.752
angles: 90.00 90.00 90.00
Fractional positions:
Be 0.000 0.000 0.000
Be 0.000 0.000 0.500
Be 0.500 0.500 0.000
Ga 0.500 0.500 0.500
Rh 0.000 0.500 0.240
Rh 0.000 0.500 0.760
Rh 0.500 0.000 0.240
Rh 0.500 0.000 0.760

***

(22)
The following is a PBE calculation of crystalline BeGa4Rh5 at its relaxed geometry, from the Alexandria database.

Summary:
For the formation enthalpy at 0 K, the calculation gives -687 meV/atom. The value obtained for the density is 9.973 g/cm³. For the total energy, the calculation gives -5.946 eV per atom.

abc: 2.988 2.988 14.963
angles: 90.00 90.00 90.00
Fractional positions:
Be 0.000 0.000 0.000
Ga 0.000 0.000 0.188
Ga 0.000 0.000 0.396
Ga 0.000 0.000 0.604
Ga 0.000 0.000 0.812
Rh 0.500 0.500 0.091
Rh 0.500 0.500 0.295
Rh 0.500 0.500 0.500
Rh 0.500 0.500 0.705
Rh 0.500 0.500 0.909

***

(23)
The following is a PBE calculation of crystalline BeGa3Rh4 at its relaxed geometry, from the Alexandria database.

Summary:
For the formation enthalpy at 0 K, the calculation gives -688 meV/atom. The value obtained for the density is 9.910 g/cm³. For the total energy, the calculation gives -5.965 eV per atom.

abc: 2.977 2.977 11.905
angles: 90.00 90.00 90.00
Fractional positions:
Be 0.000 0.000 0.000
Ga 0.000 0.000 0.238
Ga 0.000 0.000 0.500
Ga 0.000 0.000 0.762
Rh 0.500 0.500 0.115
Rh 0.500 0.500 0.371
Rh 0.500 0.500 0.629
Rh 0.500 0.500 0.885

***

(24)
The following is a PBE calculation of crystalline BeGaRh at its relaxed geometry, from the Alexandria database.

Summary:
For the formation enthalpy at 0 K, the calculation gives -405 meV/atom. The value obtained for the density is 7.919 g/cm³. For the total energy, the calculation gives -5.107 eV per atom. The value obtained for the energy relative to the lowest polymorph listed for this composition is 104.6 meV/atom.

abc: 3.911 3.911 2.876
angles: 90.00 90.00 120.00
Fractional positions:
Be 0.000 0.000 0.000
Ga 0.667 0.333 0.482
Rh 0.333 0.667 0.980

***

(25)
The following is a PBE calculation of crystalline Be5GaRh6 at its relaxed geometry, from the Alexandria database.

Summary:
For the formation enthalpy at 0 K, the calculation gives -626 meV/atom. The value obtained for the density is 8.896 g/cm³. For the total energy, the calculation gives -6.106 eV per atom.

abc: 3.999 5.691 6.328
angles: 90.00 108.37 90.00
Fractional positions:
Be 0.000 0.000 0.000
Be 0.332 0.500 0.662
Be 0.336 0.000 0.670
Be 0.664 0.000 0.330
Be 0.668 0.500 0.338
Ga 0.000 0.500 0.000
Rh 0.170 0.245 0.341
Rh 0.170 0.755 0.341
Rh 0.500 0.239 0.000
Rh 0.500 0.761 0.000
Rh 0.830 0.245 0.659
Rh 0.830 0.755 0.659

***

(26)
The following is a PBE calculation of crystalline BeGaRh2 at its relaxed geometry, from the Alexandria database.

Summary:
For the formation enthalpy at 0 K, the calculation gives -677 meV/atom. The value obtained for the density is 9.460 g/cm³. For the total energy, the calculation gives -6.041 eV per atom. The value obtained for the energy relative to the lowest polymorph listed for this composition is 0.0 meV/atom.

abc: 4.134 4.134 4.134
angles: 60.00 60.00 60.00
Fractional positions:
Be 0.000 0.000 0.000
Ga 0.500 0.500 0.500
Rh 0.250 0.250 0.250
Rh 0.750 0.750 0.750